Density functional theory data (GGA-PBE) for crystalline TmNbFe at its relaxed geometry.

The calculation puts the energy of formation at 0.09 eV/atom. The calculation puts the energy above the most stable polymorph in this dataset at 0.0 kJ/mol of atoms. As for the total magnetic moment: 2.3 Bohr magnetons per cell. The value obtained for the energy is -7.5789 eV per atom. The density of states at the Fermi level is 1.290 states/eV per atom.

Cell lengths 3.2150, 3.2150, 10.8052 Å; angles 90.00, 90.00, 90.00 degrees
Closest atoms and distances in Å follow each position.
Space group I4mm (No. 107)
Inequivalent atoms, fractional coordinates:
Tm: 0.0000 0.0000 0.0000  4 Fe 3.00, 5 Nb 3.18, 4 Tm 3.22
Nb: 0.0000 0.0000 0.2941  4 Fe 2.58
Fe: 0.0000 0.0000 0.6809  4 Nb 2.58

---

Density functional theory data (GGA-PBE) for crystalline Te3Rh at its relaxed geometry.

The uncorrected formation energy comes out at 0.40 eV/atom. As for the total magnetic moment: 0.0 Bohr magnetons per cell. The value obtained for the energy is -3.7984 eV per atom. The density of states at the Fermi level is 0.529 states/eV per atom.

Cell lengths 5.1828, 5.1828, 3.4724 Å; angles 90.00, 90.00, 90.00 degrees
Closest atoms and distances in Å follow each position.
Space group P4/mmm (No. 123)
Inequivalent atoms, fractional coordinates:
Te: 0.0000 0.0000 0.0000  10 Te 3.12-3.47
Te: 0.0000 0.5000 0.5000  6 Te 3.12-3.47, 4 Rh 3.12
Rh: 0.5000 0.5000 0.0000  8 Te 3.12, 2 Rh 3.47

---

Density functional theory data (GGA-PBE) for crystalline Li4ThMg5 at its relaxed geometry.

The calculation puts the energy of formation at -0.03 eV/atom. As for the total magnetic moment: 0.0 Bohr magnetons per cell. The value obtained for the energy is -2.3349 eV per atom. The density of states at the Fermi level is 0.618 states/eV per atom.

Cell lengths 3.4203, 3.4203, 18.6180 Å; angles 90.00, 90.00, 90.00 degrees
Closest atoms and distances in Å follow each position.
Space group P4/mmm (No. 123)
Inequivalent atoms, fractional coordinates:
Li: 0.0000 0.0000 0.0909  8 Mg 2.95-2.97
Li: 0.0000 0.0000 0.2765  8 Mg 2.96-2.98
Th: 0.0000 0.0000 0.5000  4 Th 3.42, 8 Mg 3.44
Mg: 0.5000 0.5000 0.0000  8 Li 2.95
Mg: 0.5000 0.5000 0.1830  8 Li 2.97-2.98
Mg: 0.5000 0.5000 0.3683  4 Li 2.96

---

Density functional theory data (GGA-PBE) for crystalline TmAg2SnSe4 at its relaxed geometry.

The uncorrected formation energy comes out at -0.71 eV/atom. As for the total magnetic moment: 0.0 Bohr magnetons per cell. The value obtained for the energy is -4.2244 eV per atom. The density of states at the Fermi level is 0.150 states/eV per atom.

Cell lengths 6.9260, 4.0946, 7.1444 Å; angles 90.00, 109.89, 90.00 degrees
Closest atoms and distances in Å follow each position.
Space group P2/m (No. 10)
Inequivalent atoms, fractional coordinates:
Tm: 0.0000 0.0000 0.0000  6 Se 2.85-2.87
Ag: 0.5000 0.0000 0.5000  6 Se 2.89-2.90
Ag: 0.5000 0.5000 0.0000  6 Se 2.85-2.88
Sn: 0.0000 0.5000 0.5000  6 Se 2.88-2.90
Se: 0.2452 0.5000 0.2460  2 Tm 2.85, 1 Sn 2.88, 3 Ag 2.88-2.90
Se: 0.2533 0.0000 0.7546  3 Ag 2.85-2.89, 1 Tm 2.87, 2 Sn 2.90